CoSiHg2 GGA-PBE relaxed; total magnetization = 0.00 μB/cell; formation energy from raw total energies = 0.241 eV per atom; E_tot = -0.224 Ry/atom; DOS(E_F) = 5.1 states/eV per cell
1.0
9.978 0.000 0.000
0.000 9.978 0.000
4.989 4.989 2.135
Hg Si Co
4 2 2
direct
0.875 0.125 0.750
0.875 0.125 0.250
0.875 0.625 0.250
0.375 0.125 0.750
0.250 0.750 0.500
0.500 0.500 0.000
0.000 0.000 0.000
0.750 0.250 0.500

CoSiHg2 GGA-PBE relaxed; total magnetization = 0.17 μB/cell; formation energy from raw total energies = 0.069 eV per atom; E_tot = -0.236 Ry/atom; DOS(E_F) = 1.8 states/eV per cell
1.0
-1.940 -5.940 4.246
0.787 -6.176 4.280
0.070 1.310 3.494
Si Hg Co
1 2 1
direct
0.750 0.750 0.750
0.576 0.576 0.423
0.924 0.924 0.077
0.250 0.250 0.250